VASP calculation (GGA-PBE) on an optimized crystal structure of CsCaSe2O6.

Output
energy relative to the elements, uncorrected = -1.432 eV per atom
magnetic moment = 0.00 μB per cell
final energy = -5.3892 eV/atom

Structure (extended XYZ):
```
20
Lattice="-4.5110 4.6499 3.4435 1.5303 -4.1878 5.8266 5.9665 3.9765 -0.3786" Properties=species:S:1:pos:R:3 pbc="T T T"
O -0.7200 -0.0842 5.7941
O 1.7474 1.0353 3.6910
O -1.9435 3.4648 5.6384
O 3.0597 2.7506 1.1813
O 3.7058 4.5229 3.0974
O 2.6071 4.1185 7.4017
O 1.2384 3.4033 5.2006
O -0.9596 3.2362 2.2962
O 3.9454 1.2024 6.5953
O 4.9293 0.9738 3.2531
O -0.0739 1.6880 7.7103
O 0.3788 0.3201 1.4898
Se 3.6370 4.3353 1.3648
Se 1.9686 0.4235 2.0727
Se 1.0172 4.0151 6.8188
Se -0.6512 0.1033 7.5268
Ca 3.4953 2.4662 4.5526
Ca -0.5095 1.9724 4.3389
Cs 1.0634 6.0239 3.5933
Cs 1.9224 -1.5853 5.2982
```